[1]
The following is a PBE-GGA calculation of a relaxed ScZnIn2 crystal, from the Alexandria database.

Computed properties:
DOS(E_F), states/eV per cell: 3.5
Energy of formation, eV/atom: -0.133

Cell lengths 3.4550, 4.1019, 6.2120 Å; angles 90.00, 90.00, 90.00 degrees
Space group Pmm2 (No. 25)
Symmetry-distinct sites (fractional):
Sc 0.0000 0.0000 0.0000 [1 per cell]
Zn 0.5000 0.5000 0.2362 [1 per cell]
In 0.0000 0.0000 0.4779 [1 per cell]
In 0.5000 0.5000 0.7524 [1 per cell]

[2]
The following is a PBE-GGA calculation of a relaxed Sc2ZnIn crystal, from the Alexandria database.

Computed properties:
DOS(E_F), states/eV per cell: 9.1
Energy of formation, eV/atom: -0.241

Cell lengths 4.1901, 4.1901, 9.7268 Å; angles 90.00, 90.00, 90.00 degrees
Space group I-4m2 (No. 119)
Symmetry-distinct sites (fractional):
Sc 0.0000 0.0000 0.0000 [2 per cell]
Sc 0.0000 0.5000 0.2500 [2 per cell]
Zn 0.0000 0.5000 0.7500 [2 per cell]
In 0.0000 0.0000 0.5000 [2 per cell]

[3]
The following is a PBE-GGA calculation of a relaxed Sc3ZnIn crystal, from the Alexandria database.

Computed properties:
DOS(E_F), states/eV per cell: 20.6
ΔE to the lowest computed polymorph, meV/atom: 0
Energy of formation, eV/atom: -0.303

Cell lengths 4.8586, 18.4079, 4.8575 Å; angles 90.00, 90.00, 90.00 degrees
Space group Cmcm (No. 63)
Symmetry-distinct sites (fractional):
Sc 0.0000 0.0570 0.2500 [4 per cell]
Sc 0.0000 0.2499 0.2500 [4 per cell]
Sc 0.0000 0.4424 0.2500 [4 per cell]
Zn 0.0000 0.3481 0.7500 [4 per cell]
In 0.0000 0.1539 0.7500 [4 per cell]

[4]
The following is a PBE-GGA calculation of a relaxed ScZn3In crystal, from the Alexandria database.

Computed properties:
DOS(E_F), states/eV per cell: 7.0
ΔE to the lowest computed polymorph, meV/atom: 122
Energy of formation, eV/atom: 0.681

Cell lengths 5.2603, 5.2603, 5.2603 Å; angles 90.00, 90.00, 90.00 degrees
Space group Pm-3m (No. 221)
Symmetry-distinct sites (fractional):
Sc 0.0000 0.0000 0.0000 [1 per cell]
Zn 0.0000 0.0000 0.5000 [3 per cell]
In 0.5000 0.5000 0.5000 [1 per cell]

[5]
The following is a PBE-GGA calculation of a relaxed Sc4ZnIn crystal, from the Alexandria database.

Computed properties:
DOS(E_F), states/eV per cell: 24.2
ΔE to the lowest computed polymorph, meV/atom: 58
Energy of formation, eV/atom: 0.006

Cell lengths 4.7607, 4.7607, 23.2392 Å; angles 90.00, 90.00, 120.00 degrees
Space group R-3m (No. 166, hexagonal axes)
Symmetry-distinct sites (fractional):
Sc 0.0000 0.0000 0.1188 [6 per cell]
Sc 0.0000 0.0000 0.3689 [6 per cell]
Zn 0.0000 0.0000 0.0000 [3 per cell]
In 0.0000 0.0000 0.5000 [3 per cell]

[6]
The following is a PBE-GGA calculation of a relaxed ScZn2In crystal, from the Alexandria database.

Computed properties:
DOS(E_F), states/eV per cell: 7.6
Energy of formation, eV/atom: 0.001

Cell lengths 7.5673, 7.5673, 5.9167 Å; angles 90.00, 90.00, 90.00 degrees
Space group I-42d (No. 122)
Symmetry-distinct sites (fractional):
Sc 0.0000 0.0000 0.0000 [4 per cell]
Zn 0.2411 0.2500 0.6250 [8 per cell]
In 0.0000 0.0000 0.5000 [4 per cell]

[7]
The following is a PBE-GGA calculation of a relaxed Sc8Zn2In crystal, from the Alexandria database.

Computed properties:
DOS(E_F), states/eV per cell: 22.0
ΔE to the lowest computed polymorph, meV/atom: 0
Energy of formation, eV/atom: -0.224

Cell lengths 15.0923, 4.7528, 7.6319 Å; angles 90.00, 117.51, 90.00 degrees
Space group C2/m (No. 12)
Symmetry-distinct sites (fractional):
Sc 0.0604 0.0000 0.2279 [4 per cell]
Sc 0.1044 0.5000 0.9671 [4 per cell]
Sc 0.1533 0.0000 0.7121 [4 per cell]
Sc 0.1874 0.5000 0.4597 [4 per cell]
Zn 0.2161 0.0000 0.1247 [4 per cell]
In 0.0000 0.5000 0.5000 [2 per cell]

[8]
The following is a PBE-GGA calculation of a relaxed Sc2ZnIn6 crystal, from the Alexandria database.

Computed properties:
DOS(E_F), states/eV per cell: 6.3
Energy of formation, eV/atom: -0.126

Cell lengths 8.3443, 8.3443, 3.5519 Å; angles 90.00, 90.00, 120.00 degrees
Space group P-62m (No. 189)
Symmetry-distinct sites (fractional):
Sc 0.3333 0.6667 0.0000 [2 per cell]
Zn 0.0000 0.0000 0.5000 [1 per cell]
In 0.0000 0.2703 0.0000 [3 per cell]
In 0.0000 0.6220 0.5000 [3 per cell]

[9]
The following is a PBE-GGA calculation of a relaxed ScZn2In crystal, from the Alexandria database.

Computed properties:
DOS(E_F), states/eV per cell: 5.9
Energy of formation, eV/atom: -0.063

Cell lengths 5.9611, 9.7277, 2.9623 Å; angles 90.00, 113.92, 90.00 degrees
Space group C2/m (No. 12)
Symmetry-distinct sites (fractional):
Sc 0.0000 0.0000 0.0000 [2 per cell]
Zn 0.2500 0.2500 0.5000 [4 per cell]
In 0.0000 0.5000 0.0000 [2 per cell]

[10]
The following is a PBE-GGA calculation of a relaxed ScZnIn2 crystal, from the Alexandria database.

Computed properties:
DOS(E_F), states/eV per cell: 4.5
Energy of formation, eV/atom: -0.208

Cell lengths 4.2823, 4.2823, 9.3473 Å; angles 90.00, 90.00, 90.00 degrees
Space group I-4m2 (No. 119)
Symmetry-distinct sites (fractional):
Sc 0.0000 0.0000 0.0000 [2 per cell]
Zn 0.0000 0.5000 0.7500 [2 per cell]
In 0.0000 0.0000 0.5000 [2 per cell]
In 0.0000 0.5000 0.2500 [2 per cell]

[11]
The following is a PBE-GGA calculation of a relaxed Sc3Zn7In crystal, from the Alexandria database.

Computed properties:
DOS(E_F), states/eV per cell: 26.1
Energy of formation, eV/atom: -0.191

Cell lengths 4.4411, 19.2159, 9.5716 Å; angles 90.00, 90.00, 90.00 degrees
Space group Cmcm (No. 63)
Symmetry-distinct sites (fractional):
Sc 0.0000 0.1254 0.0689 [8 per cell]
Sc 0.0000 0.1984 0.7500 [4 per cell]
Zn 0.0000 0.2784 0.0091 [8 per cell]
Zn 0.0000 0.3433 0.7500 [4 per cell]
Zn 0.0000 0.3944 0.1179 [8 per cell]
Zn 0.0000 0.4664 0.6151 [8 per cell]
In 0.0000 0.0345 0.7500 [4 per cell]

[12]
The following is a PBE-GGA calculation of a relaxed ScZnIn2 crystal, from the Alexandria database.

Computed properties:
DOS(E_F), states/eV per cell: 5.8
Energy of formation, eV/atom: -0.207

Cell lengths 4.2795, 4.2795, 9.3773 Å; angles 90.00, 90.00, 90.00 degrees
Space group I4/mmm (No. 139)
Symmetry-distinct sites (fractional):
Sc 0.0000 0.0000 0.0000 [2 per cell]
Zn 0.0000 0.0000 0.5000 [2 per cell]
In 0.0000 0.5000 0.2500 [4 per cell]

energy of formation of number 11 (Sc3Zn7In)? -0.191 eV/atom